1.
Density functional theory data (GGA-PBE) for a relaxed structure of Tl2CdCo.

Cell lengths 4.450, 4.450, 19.012 Å; angles 90.00, 90.00, 90.00 degrees
Space group I-42d (No. 122)
Asymmetric unit:
Tl1 0.220 0.250 0.125
Cd1 0.000 0.000 0.500
Co1 0.000 0.000 0.000

Summary:
Calculated total energy   -2.551 eV/atom
N(E_F)   4.27 states/eV/f.u.

---

2.
Density functional theory data (GGA-PBE) for a relaxed structure of Tl2CdCo.

Cell lengths 3.245, 3.245, 8.421 Å; angles 90.00, 90.00, 90.00 degrees
Space group P4/mmm (No. 123)
Asymmetric unit:
Tl1 0.000 0.000 0.197
Cd1 0.500 0.500 0.500
Co1 0.500 0.500 0.000

Summary:
Calculated total energy   -2.769 eV/atom
N(E_F)   4.34 states/eV/f.u.

---

3.
Density functional theory data (GGA-PBE) for a relaxed structure of TlCd2Co.

Cell lengths 4.211, 4.211, 4.422 Å; angles 90.00, 90.00, 90.00 degrees
Space group P4/mmm (No. 123)
Asymmetric unit:
Tl1 0.000 0.000 0.000
Cd1 0.000 0.500 0.500
Co1 0.500 0.500 0.000

Summary:
Calculated total energy   -2.415 eV/atom
N(E_F)   4.54 states/eV/f.u.

---

4.
Density functional theory data (GGA-PBE) for a relaxed structure of TlCdCo2.

Cell lengths 6.436, 6.436, 6.436 Å; angles 90.00, 90.00, 90.00 degrees
Space group F-43m (No. 216)
Asymmetric unit:
Tl1 0.000 0.000 0.000
Cd1 0.250 0.250 0.250
Co1 0.000 0.000 0.500
Co2 0.250 0.250 0.750

Summary:
Calculated total energy   -3.743 eV/atom
N(E_F)   6.25 states/eV/f.u.

---

5.
Density functional theory data (GGA-PBE) for a relaxed structure of Tl2CdCo.

Cell lengths 4.291, 4.291, 9.426 Å; angles 90.00, 90.00, 90.00 degrees
Space group I-4m2 (No. 119)
Asymmetric unit:
Tl1 0.000 0.000 0.000
Tl2 0.000 0.500 0.250
Cd1 0.000 0.500 0.750
Co1 0.000 0.000 0.500

Summary:
Calculated total energy   -2.675 eV/atom
N(E_F)   4.14 states/eV/f.u.

---

6.
Density functional theory data (GGA-PBE) for a relaxed structure of TlCdCo2.

Cell lengths 10.119, 3.034, 4.636 Å; angles 90.00, 110.01, 90.00 degrees
Space group Cm (No. 8)
Asymmetric unit:
Tl1 0.000 0.000 0.000
Cd1 0.211 0.000 0.659
Co1 0.263 0.500 0.204
Co2 0.448 0.000 0.460

Summary:
Calculated total energy   -3.929 eV/atom
N(E_F)   4.88 states/eV/f.u.

---

7.
Density functional theory data (GGA-PBE) for a relaxed structure of Tl2CdCo.

Cell lengths 3.3887, 3.3887, 26.8979 Å; angles 90.00, 90.00, 120.00 degrees
Space group R-3m (No. 166, hexagonal axes)
Asymmetric unit:
Tl1 0.0000 0.0000 0.2381
Cd1 0.0000 0.0000 0.0000
Co1 0.0000 0.0000 0.5000

Summary:
Calculated total energy   -2.768 eV/atom
N(E_F)   3.93 states/eV/f.u.

---

8.
Density functional theory data (GGA-PBE) for a relaxed structure of TlCdCo4.

Cell lengths 7.027, 7.027, 7.027 Å; angles 90.00, 90.00, 90.00 degrees
Space group F-43m (No. 216)
Asymmetric unit:
Tl1 0.000 0.000 0.000
Cd1 0.250 0.250 0.750
Co1 0.125 0.125 0.375

Summary:
Calculated total energy   -4.930 eV/atom
N(E_F)   8.49 states/eV/f.u.

---

9.
Density functional theory data (GGA-PBE) for a relaxed structure of TlCd2Co.

Cell lengths 4.341, 2.950, 7.277 Å; angles 90.00, 107.34, 90.00 degrees
Space group Pm (No. 6)
Asymmetric unit:
Tl1 0.000 0.000 0.000
Cd1 0.356 0.500 0.712
Cd2 0.700 0.000 0.403
Co1 0.164 0.500 0.332

Summary:
Calculated total energy   -2.511 eV/atom
N(E_F)   3.46 states/eV/f.u.

---

10.
Density functional theory data (GGA-PBE) for a relaxed structure of TlCd2Co.

Cell lengths 3.387, 4.450, 5.591 Å; angles 90.00, 100.68, 90.00 degrees
Space group P2/m (No. 10)
Asymmetric unit:
Tl1 0.000 0.000 0.000
Cd1 0.370 0.500 0.721
Co1 0.000 0.000 0.500

Summary:
Calculated total energy   -2.432 eV/atom
N(E_F)   4.84 states/eV/f.u.

---

11.
Density functional theory data (GGA-PBE) for a relaxed structure of Tl2CdCo.

Cell lengths 6.416, 7.561, 3.633 Å; angles 90.00, 90.00, 90.00 degrees
Space group Cmmm (No. 65)
Asymmetric unit:
Tl1 0.250 0.250 0.000
Cd1 0.000 0.000 0.500
Co1 0.000 0.500 0.500

Summary:
Calculated total energy   -2.657 eV/atom
N(E_F)   4.16 states/eV/f.u.

---

12.
Density functional theory data (GGA-PBE) for a relaxed structure of TlCdCo2.

Cell lengths 3.094, 4.543, 9.617 Å; angles 90.00, 90.00, 90.00 degrees
Space group Imm2 (No. 44)
Asymmetric unit:
Tl1 0.000 0.000 0.000
Cd1 0.000 0.500 0.786
Co1 0.000 0.000 0.554
Co2 0.000 0.500 0.237

Summary:
Calculated total energy   -3.919 eV/atom
N(E_F)   4.97 states/eV/f.u.